Material: CaEr2Zn
Method: DFT, PBE
State: relaxed

a = 3.5725 Å, b = 3.5725 Å, c = 11.2483 Å
α = 80.86°, β = 80.86°, γ = 60.00°
Element x y z (fractional)
Er: 0.1025 0.1025 0.6926
Zn: 0.5000 0.5000 0.5000
Ca: 0.0000 0.0000 0.0000
Er: 0.8975 0.8975 0.3074

* calculated formation energy: 0.5 eV per formula unit
* volume: 122 Å³/f.u.
* total moment: 0.00 μB/f.u.
* E above lowest polymorph: 225 meV per atom